(1)
# La2Tb5Er | the Alexandria database | GGA-PBE | relaxed
data_La2Tb5Er
_chemical_formula_sum 'La4 Tb10 Er2'
_cell_length_a 7.203
_cell_length_b 14.409
_cell_length_c 5.096
_cell_angle_alpha 90.00
_cell_angle_beta 90.00
_cell_angle_gamma 90.00
_symmetry_space_group_name_H-M 'P b a m'
_symmetry_Int_Tables_number 55
_symmetry_space_group_name_Hall '-P 2 2ab'
loop_
_atom_site_label
_atom_site_type_symbol
_atom_site_fract_x
_atom_site_fract_y
_atom_site_fract_z
La1 La 0.248 0.125 0.000
Tb1 Tb 0.000 0.500 0.500
Tb2 Tb 0.003 0.750 0.500
Tb3 Tb 0.247 0.375 0.000
Er1 Er 0.000 0.000 0.500
# DOS at the Fermi energy: 24.9 states/eV per cell
# crystal system: orthorhombic
# ΔH_f (0 K): 0.028 eV per atom

(2)
# Ca2HN | the Alexandria database | GGA-PBE | relaxed
data_Ca2HN
_chemical_formula_sum 'Ca6 H3 N3'
_cell_length_a 3.5271
_cell_length_b 3.5271
_cell_length_c 18.4562
_cell_angle_alpha 90.00
_cell_angle_beta 90.00
_cell_angle_gamma 120.00
_symmetry_space_group_name_H-M 'R 3 m'
_symmetry_Int_Tables_number 160
_symmetry_space_group_name_Hall 'R 3 -2"'
loop_
_atom_site_label
_atom_site_type_symbol
_atom_site_fract_x
_atom_site_fract_y
_atom_site_fract_z
Ca1 Ca 0.0000 0.0000 0.0000
Ca2 Ca 0.0000 0.0000 0.1955
H1 H 0.0000 0.0000 0.4262
N1 N 0.0000 0.0000 0.5974
# E: -56.049 eV/cell
# DOS at the Fermi energy: 0.0 states/eV per cell
# crystal system: trigonal

(3)
# AcSm6Y12 | the Alexandria database | GGA-PBE | relaxed
data_AcSm6Y12
_chemical_formula_sum 'Ac3 Sm18 Y36'
_cell_length_a 13.4573
_cell_length_b 13.4573
_cell_length_c 12.5748
_cell_angle_alpha 90.00
_cell_angle_beta 90.00
_cell_angle_gamma 120.00
_symmetry_space_group_name_H-M 'R -3 m'
_symmetry_Int_Tables_number 166
_symmetry_space_group_name_Hall '-R 3 2"'
loop_
_atom_site_label
_atom_site_type_symbol
_atom_site_fract_x
_atom_site_fract_y
_atom_site_fract_z
Ac1 Ac 0.0000 0.0000 0.0000
Sm1 Sm 0.0338 0.5169 0.6195
Y1 Y 0.0000 0.2597 0.5000
Y2 Y 0.0912 0.1823 0.2630
# DOS at the Fermi energy: 102.7 states/eV per cell
# crystal system: trigonal
# ΔH_f (0 K): 0.200 eV per atom

Question: What is the DOS at the Fermi energy in the first record?
Answer: 24.9 states/eV per cell

Question: Look up the DOS at the Fermi energy of the third one.
Answer: 102.7 states/eV per cell